No. 1
## MgBr2O (GGA-PBEsol)

Data for a relaxed MgBr2O crystal.

It has space group I-42d (No. 122), with a = 7.011 Å, b = 7.011 Å, c = 7.239 Å, α = 90.00°, β = 90.00° and γ = 90.00°. Symmetry generates all atoms from Mg at (0.000, 0.000, 0.000), Br at (0.230, 0.250, 0.125) and O at (0.000, 0.000, 0.500).

The value obtained for the total DFT energy (no corrections) is -2.972 eV/atom. As for the magnetization: 8.00 Bohr magnetons per cell. The value obtained for the mass density is 3.74 g/cm³. As for the raw formation energy: -0.295 eV per atom.


No. 2
## MgBr2O6 (GGA-PBEsol)

Data for a relaxed MgBr2O6 crystal.

It has space group C2/m (No. 12), with a = 9.764 Å, b = 5.636 Å, c = 6.347 Å, α = 90.00°, β = 115.86° and γ = 90.00°. Symmetry generates all atoms from Mg at (0.000, 0.000, 0.000), Br at (0.142, 0.500, 0.914), O at (0.029, 0.266, 0.791) and O at (0.237, 0.000, 0.210).

The value obtained for the total DFT energy (no corrections) is -4.554 eV/atom. As for the magnetization: 0.00 Bohr magnetons per cell. The value obtained for the mass density is 2.96 g/cm³. As for the raw formation energy: -0.448 eV per atom.


No. 3
## MgOsBr2 (GGA-PBEsol)

Data for a relaxed MgOsBr2 crystal.

It has space group Cmmm (No. 65), with a = 3.093 Å, b = 5.771 Å, c = 9.472 Å, α = 90.00°, β = 90.00° and γ = 90.00°. Symmetry generates all atoms from Mg at (0.000, 0.000, 0.000), Os at (0.000, 0.000, 0.500) and Br at (0.000, 0.500, 0.291).

The value obtained for the total DFT energy (no corrections) is -3.841 eV/atom. As for the magnetization: 0.00 Bohr magnetons per cell. The value obtained for the mass density is 7.35 g/cm³. As for the offset from the most stable computed form: 336 meV per atom. As for the raw formation energy: 0.577 eV per atom.


No. 4
## MgOsBr2 (GGA-PBEsol)

Data for a relaxed MgOsBr2 crystal.

It has space group I-4m2 (No. 119), with a = 3.728 Å, b = 3.728 Å, c = 11.409 Å, α = 90.00°, β = 90.00° and γ = 90.00°. Symmetry generates all atoms from Mg at (0.000, 0.000, 0.000), Os at (0.000, 0.500, 0.250), Br at (0.000, 0.000, 0.500) and Br at (0.000, 0.500, 0.750).

The value obtained for the total DFT energy (no corrections) is -3.709 eV/atom. As for the magnetization: 2.48 Bohr magnetons per cell. The value obtained for the mass density is 7.84 g/cm³. As for the offset from the most stable computed form: 468 meV per atom. As for the raw formation energy: 0.709 eV per atom.


No. 5
## MgOsBr2 (GGA-PBEsol)

Data for a relaxed MgOsBr2 crystal.

It has space group F-43m (No. 216), with a = 6.806 Å, b = 6.806 Å, c = 6.806 Å, α = 90.00°, β = 90.00° and γ = 90.00°. Symmetry generates all atoms from Mg at (0.000, 0.000, 0.000), Os at (0.250, 0.250, 0.750), Br at (0.000, 0.000, 0.500) and Br at (0.250, 0.250, 0.250).

The value obtained for the total DFT energy (no corrections) is -3.352 eV/atom. As for the magnetization: 9.18 Bohr magnetons per cell. The value obtained for the mass density is 7.89 g/cm³. As for the offset from the most stable computed form: 824 meV per atom. As for the raw formation energy: 1.066 eV per atom.


No. 6
## Mg2OsBr (GGA-PBEsol)

Data for a relaxed Mg2OsBr crystal.

It has space group P4mm (No. 99), with a = 3.507 Å, b = 3.507 Å, c = 6.757 Å, α = 90.00°, β = 90.00° and γ = 90.00°. Symmetry generates all atoms from Mg at (0.000, 0.000, 0.000), Mg at (0.500, 0.500, 0.275), Os at (0.000, 0.000, 0.381) and Br at (0.500, 0.500, 0.805).

The value obtained for the total DFT energy (no corrections) is -3.974 eV/atom. As for the magnetization: 0.47 Bohr magnetons per cell. The value obtained for the mass density is 6.37 g/cm³. As for the offset from the most stable computed form: 0 meV per atom. As for the raw formation energy: 0.407 eV per atom.


No. 7
## MgOsBr2 (GGA-PBEsol)

Data for a relaxed MgOsBr2 crystal.

It has space group Cm (No. 8), with a = 15.851 Å, b = 3.141 Å, c = 3.778 Å, α = 90.00°, β = 103.68° and γ = 90.00°. Symmetry generates all atoms from Mg at (0.000, 0.000, 0.000), Os at (0.145, 0.500, 0.141), Br at (0.186, 0.000, 0.683) and Br at (0.411, 0.000, 0.410).

The value obtained for the total DFT energy (no corrections) is -4.177 eV/atom. As for the magnetization: 0.00 Bohr magnetons per cell. The value obtained for the mass density is 6.80 g/cm³. As for the offset from the most stable computed form: 0 meV per atom. As for the raw formation energy: 0.241 eV per atom.


No. 8
## MgOsBr2 (GGA-PBEsol)

Data for a relaxed MgOsBr2 crystal.

It has space group I-42d (No. 122), with a = 4.579 Å, b = 4.579 Å, c = 15.925 Å, α = 90.00°, β = 90.00° and γ = 90.00°. Symmetry generates all atoms from Mg at (0.000, 0.000, 0.000), Os at (0.000, 0.000, 0.500) and Br at (0.225, 0.250, 0.625).

The value obtained for the total DFT energy (no corrections) is -3.895 eV/atom. As for the magnetization: 0.00 Bohr magnetons per cell. The value obtained for the mass density is 7.45 g/cm³. As for the offset from the most stable computed form: 282 meV per atom. As for the raw formation energy: 0.523 eV per atom.